! Li2PrSm2Pb2 (PBE, optimized geometry); values from VASP
&SYSTEM
  ibrav = 0, nat = 7, ntyp = 4
/
ATOMIC_SPECIES
Li 6.94 Li.upf
Pr 140.91 Pr.upf
Pb 207.20 Pb.upf
Sm 150.36 Sm.upf
ATOMIC_POSITIONS angstrom
Li 4.8991 2.8285 7.2097
Li 4.8991 2.8285 2.0604
Pr 0.0000 0.0000 0.0000
Pb 7.3487 4.2428 7.3021
Pb 2.4496 1.4143 1.9681
Sm 7.3487 4.2428 3.6166
Sm 2.4496 1.4143 5.6535
CELL_PARAMETERS angstrom
4.8991 0.0000 0.0000
2.4496 4.2428 0.0000
2.4496 1.4143 9.2702
! Formation enthalpy at 0 K, eV per atom: -0.35
! Mass density, g/cm³: 7.497
! Final energy, eV per atom: -3.99
! SG: R-3m (166)

! LiPrSmPb (PBE, optimized geometry); values from VASP
&SYSTEM
  ibrav = 0, nat = 4, ntyp = 4
/
ATOMIC_SPECIES
Sm 150.36 Sm.upf
Pr 140.91 Pr.upf
Li 6.94 Li.upf
Pb 207.20 Pb.upf
ATOMIC_POSITIONS angstrom
Sm -2.1034 0.2028 2.5761
Pr -6.3102 0.6084 7.7283
Li 0.0000 0.0000 0.0000
Pb -4.2068 0.4056 5.1522
CELL_PARAMETERS angstrom
-4.9529 -1.3436 1.8077
-0.7354 -1.2507 5.2440
-2.7253 3.4055 3.2527
! Formation enthalpy at 0 K, eV per atom: -0.32
! Mass density, g/cm³: 7.368
! Final energy, eV per atom: -4.10
! SG: F-43m (216)

! SrLi2Pr2Pb2 (PBE, optimized geometry); values from VASP
&SYSTEM
  ibrav = 0, nat = 7, ntyp = 4
/
ATOMIC_SPECIES
Pr 140.91 Pr.upf
Pb 207.20 Pb.upf
Sr 87.62 Sr.upf
Li 6.94 Li.upf
ATOMIC_POSITIONS angstrom
Pr -5.9808 4.6466 -5.6632
Pr -3.2932 5.7477 -0.2496
Pb -2.2655 2.4274 -1.5450
Pb -7.0084 7.9669 -4.3678
Sr 0.0000 0.0000 0.0000
Li -3.9164 2.8691 -3.8646
Li -5.3575 7.5252 -2.0481
CELL_PARAMETERS angstrom
-0.5268 1.6611 -4.6757
-4.3905 -0.4506 -2.3280
-4.3566 9.1838 1.0910
! Formation enthalpy at 0 K, eV per atom: -0.38
! Mass density, g/cm³: 6.263
! Final energy, eV per atom: -3.60
! SG: R-3m (166)

Which formula does entry 1 have? Li2PrSm2Pb2